--- one ---
MgP2RuO (PBE, relaxed); density = 4.077 Mg/m³; SG = P4/mmm, No. 123
1.0
4.8375 0.0000 0.0000
0.0000 4.8375 0.0000
0.0000 0.0000 3.5391
Mg P Ru O
1 2 1 1
Direct
0.0000 0.0000 0.0000
0.0000 0.5000 0.0000
0.5000 0.0000 0.0000
0.5000 0.5000 0.5000
0.0000 0.0000 0.5000



--- two ---
MgP2RuO (PBE, relaxed); density = 3.937 Mg/m³; SG = P4/mmm, No. 123
1.0
4.8286 0.0000 0.0000
0.0000 4.8286 0.0000
0.0000 0.0000 3.6779
Mg P Ru O
1 2 1 1
Direct
0.0000 0.0000 0.0000
0.0000 0.5000 0.5000
0.5000 0.0000 0.5000
0.5000 0.5000 0.5000
0.5000 0.5000 0.0000



Last place for stability: one



--- one ---
MgScPO2 (PBE, relaxed); density = 2.513 Mg/m³; SG = P4/mmm, No. 123
1.0
3.9880 0.0000 0.0000
0.0000 3.9880 0.0000
0.0000 0.0000 5.4945
Mg Sc P O
1 1 1 2
Direct
0.0000 0.0000 0.0000
0.5000 0.5000 0.5000
0.5000 0.5000 0.0000
0.0000 0.5000 0.5000
0.5000 0.0000 0.5000



--- two ---
MgScPO2 (PBE, relaxed); density = 2.894 Mg/m³; SG = P4/mmm, No. 123
1.0
3.8347 0.0000 0.0000
0.0000 3.8347 0.0000
0.0000 0.0000 5.1599
Mg Sc P O
1 1 1 2
Direct
0.0000 0.0000 0.0000
0.5000 0.5000 0.5000
0.0000 0.0000 0.5000
0.0000 0.5000 0.0000
0.5000 0.0000 0.0000



Last place for stability: two



--- one ---
MgP2SeO (PBE, relaxed); density = 3.338 Mg/m³; SG = P4/mmm, No. 123
1.0
4.9721 0.0000 0.0000
0.0000 4.9721 0.0000
0.0000 0.0000 3.6469
Mg P Se O
1 2 1 1
Direct
0.0000 0.0000 0.0000
0.0000 0.5000 0.0000
0.5000 0.0000 0.0000
0.5000 0.5000 0.5000
0.0000 0.0000 0.5000



--- two ---
MgP2SeO (PBE, relaxed); density = 3.307 Mg/m³; SG = P4/mmm, No. 123
1.0
4.9649 0.0000 0.0000
0.0000 4.9649 0.0000
0.0000 0.0000 3.6912
Mg P Se O
1 2 1 1
Direct
0.0000 0.0000 0.0000
0.0000 0.5000 0.5000
0.5000 0.0000 0.5000
0.5000 0.5000 0.5000
0.5000 0.5000 0.0000



Last place for stability: one



--- one ---
MgPSeO2 (PBE, relaxed); density = 2.863 Mg/m³; SG = P4/mmm, No. 123
1.0
3.7658 0.0000 0.0000
0.0000 3.7658 0.0000
0.0000 0.0000 6.7981
Mg P Se O
1 1 1 2
Direct
0.0000 0.0000 0.0000
0.0000 0.0000 0.5000
0.5000 0.5000 0.5000
0.0000 0.5000 0.0000
0.5000 0.0000 0.0000



--- two ---
MgPSeO2 (PBE, relaxed); density = 3.763 Mg/m³; SG = P4/mmm, No. 123
1.0
3.8546 0.0000 0.0000
0.0000 3.8546 0.0000
0.0000 0.0000 4.9367
Mg P Se O
1 1 1 2
Direct
0.0000 0.0000 0.0000
0.5000 0.5000 0.0000
0.5000 0.5000 0.5000
0.0000 0.5000 0.5000
0.5000 0.0000 0.5000



Last place for stability: one



--- one ---
Sr2MgZn2Sn2P4O16 (PBE, relaxed); density = 3.866 Mg/m³; SG = P1, No. 1
1.0
5.4339 0.0000 0.0000
0.7237 8.1977 0.0000
1.7980 3.3640 9.1365
Sr Mg Zn Sn P O
2 1 2 2 4 16
Direct
0.0000 0.0000 0.0000
0.2732 0.4878 0.9719
0.0547 0.9981 0.6736
0.1496 0.4568 0.5523
0.2216 0.0664 0.3396
0.6167 0.8701 0.4534
0.7504 0.5176 0.4305
0.3830 0.7664 0.2101
0.5019 0.1816 0.7495
0.7429 0.2765 0.2151
0.8788 0.6834 0.7410
0.0814 0.5481 0.7140
0.1765 0.9018 0.2387
0.3142 0.7172 0.0876
0.3483 0.0360 0.7416
0.3774 0.6031 0.3595
0.3842 0.2260 0.8841
0.4586 0.2658 0.2156
0.4800 0.3410 0.5990
0.6155 0.6185 0.7796
0.6432 0.8450 0.1823
0.7846 0.1341 0.7483
0.8063 0.4424 0.2419
0.8319 0.1150 0.3460
0.8933 0.8525 0.5931
0.9012 0.2743 0.0713
0.9744 0.7586 0.8455



--- two ---
Sr2MgZn2Sn2P4O16 (PBE, relaxed); density = 3.682 Mg/m³; SG = P1, No. 1
1.0
5.5714 0.0000 0.0000
-1.6195 8.0575 0.0000
-1.2453 -2.0740 9.5202
Sr Mg Zn Sn P O
2 1 2 2 4 16
Direct
0.0000 0.0000 0.0000
0.4640 0.5493 0.1051
0.9190 0.3458 0.2731
0.3341 0.9803 0.4420
0.4382 0.2990 0.6974
0.0857 0.4700 0.6729
0.7858 0.7130 0.5678
0.3989 0.3411 0.3557
0.4285 0.9093 0.7573
0.7694 0.9245 0.2833
0.9008 0.4102 0.9493
0.0946 0.5539 0.9086
0.2186 0.7497 0.6718
0.2268 0.4554 0.4159
0.2629 0.2456 0.2070
0.3738 0.9788 0.9007
0.4302 0.0412 0.6581
0.4579 0.2273 0.4595
0.5088 0.8474 0.3195
0.6293 0.4168 0.8918
0.6476 0.4563 0.3375
0.6809 0.8527 0.7713
0.7888 0.1048 0.2589
0.7964 0.8078 0.1465
0.9298 0.4556 0.1120
0.9598 0.2394 0.8937
0.9700 0.9174 0.4093



--- three ---
Sr2MgZn2Sn2P4O16 (PBE, relaxed); density = 3.746 Mg/m³; SG = P1, No. 1
1.0
5.3310 0.0000 0.0000
-0.0351 8.1751 0.0000
-0.7195 -2.8267 9.6393
Sr Mg Zn Sn P O
2 1 2 2 4 16
Direct
0.0000 0.0000 0.0000
0.4350 0.4342 0.9495
0.4263 0.4022 0.5809
0.0044 0.6828 0.6808
0.5173 0.8652 0.2957
0.8078 0.8763 0.5212
0.9827 0.4354 0.2998
0.4624 0.2121 0.2311
0.5027 0.8063 0.7381
0.9406 0.2837 0.7112
0.9962 0.6956 0.1444
0.0409 0.2495 0.8475
0.1103 0.4332 0.6857
0.1489 0.6709 0.0181
0.1818 0.7133 0.2772
0.2672 0.8416 0.8206
0.2677 0.3045 0.1513
0.3537 0.0293 0.2027
0.4454 0.6498 0.6081
0.4838 0.3084 0.3864
0.5669 0.9646 0.6887
0.6650 0.3470 0.7205
0.7197 0.2152 0.1681
0.7301 0.7646 0.8279
0.8138 0.8443 0.1575
0.8245 0.5319 0.1348
0.9665 0.1311 0.5804



Last place for stability: one



--- one ---
SrMgPO2 (PBE, relaxed); density = 2.366 Mg/m³; SG = P4/mmm, No. 123
1.0
4.4354 0.0000 0.0000
0.0000 4.4354 0.0000
0.0000 0.0000 6.2390
Sr Mg P O
1 1 1 2
Direct
0.0000 0.0000 0.0000
0.5000 0.5000 0.5000
0.0000 0.0000 0.5000
0.0000 0.5000 0.0000
0.5000 0.0000 0.0000



--- two ---
SrMgPO2 (PBE, relaxed); density = 3.324 Mg/m³; SG = P4/mmm, No. 123
1.0
4.2027 0.0000 0.0000
0.0000 4.2027 0.0000
0.0000 0.0000 4.9474
Sr Mg P O
1 1 1 2
Direct
0.0000 0.0000 0.0000
0.5000 0.5000 0.5000
0.5000 0.5000 0.0000
0.0000 0.5000 0.5000
0.5000 0.0000 0.5000



Last place for stability: one